Entry 1:
Here is crystalline Tm4Al24Pd9 at its relaxed geometry from the Alexandria database. Energies are from GGA-PBE.

Cell lengths 7.5290, 7.5244, 13.1569 Å; angles 84.51, 100.90, 119.92 degrees
Atoms (fractional coordinates):
Tm 0.4381 0.8321 0.8091
Tm 0.5619 0.1679 0.1909
Tm 0.7685 0.5014 0.8090
Tm 0.2315 0.4986 0.1910
Al 0.4824 0.1663 0.9437
Al 0.5176 0.8337 0.0563
Al 0.0207 0.1668 0.5614
Al 0.9793 0.8332 0.4386
Al 0.3536 0.8334 0.5595
Al 0.6464 0.1666 0.4405
Al 0.6163 0.8343 0.3281
Al 0.3836 0.1657 0.6719
Al 0.0570 0.4935 0.6722
Al 0.9430 0.5065 0.3278
Al 0.7310 0.8401 0.6709
Al 0.2690 0.1599 0.3291
Al 0.1477 0.5011 0.9436
Al 0.8523 0.4989 0.0564
Al 0.8165 0.8322 0.9529
Al 0.1835 0.1678 0.0471
Al 0.3136 0.5004 0.4406
Al 0.6864 0.4996 0.5594
Al 0.1031 0.8359 0.1835
Al 0.8969 0.1641 0.8165
Al 0.3096 0.3708 0.8155
Al 0.6904 0.6292 0.1845
Al 0.1031 0.9572 0.8165
Al 0.8969 0.0428 0.1835
Pd 0.3882 0.5085 0.6386
Pd 0.6118 0.4915 0.3614
Pd 0.1715 0.8284 0.0000
Pd 0.8285 0.1716 0.0000
Pd 0.2955 0.8331 0.3614
Pd 0.7045 0.1669 0.6386
Pd 0.0464 0.8249 0.6379
Pd 0.9536 0.1751 0.3621
Pd 0.5000 0.5000 0.0000

Properties
Calculated formation energy = -0.702 eV per atom
Space-group type = No. 2
Fermi-level density of states = 0.1993 states/eV/atom

---

Entry 2:
Here is crystalline Pm2PrAg at its relaxed geometry from the Alexandria database. Energies are from GGA-PBE.

Cell lengths 3.6702, 3.6702, 10.9734 Å; angles 80.37, 80.37, 60.00 degrees
Atoms (fractional coordinates):
Pr 0.5000 0.5000 0.5000
Ag 0.0000 0.0000 0.0000
Pm 0.2597 0.2597 0.2208
Pm 0.7403 0.7403 0.7792

Properties
Excess energy over the best structure of this formula in the dataset = 0.104 eV per atom
Calculated formation energy = -0.009 eV per atom
Space-group type = No. 166
Fermi-level density of states = 1.1781 states/eV/atom

---

Entry 3:
Here is crystalline BAu at its relaxed geometry from the Alexandria database. Energies are from GGA-PBE.

Cell lengths 9.1094, 2.9808, 6.0418 Å; angles 90.00, 90.00, 90.00 degrees
Atoms (fractional coordinates):
B 0.3228 0.0000 0.0972
B 0.6772 0.0000 0.0972
B 0.8228 0.5000 0.5972
B 0.1772 0.5000 0.5972
B 0.0000 0.5000 0.5492
B 0.5000 0.0000 0.0492
Au 0.3382 0.0000 0.7064
Au 0.6618 0.0000 0.7064
Au 0.8382 0.5000 0.2064
Au 0.1618 0.5000 0.2064
Au 0.0000 0.0000 0.8456
Au 0.5000 0.5000 0.3456

Properties
Calculated formation energy = 0.568 eV per atom
Space-group type = No. 44
Fermi-level density of states = 0.1919 states/eV/atom

---

Entry 4:
Here is crystalline ReAgP2 at its relaxed geometry from the Alexandria database. Energies are from GGA-PBE.

Cell lengths 5.1894, 5.1894, 5.1894 Å; angles 138.71, 138.71, 59.82 degrees
Atoms (fractional coordinates):
Ag 0.7500 0.2500 0.5000
P 0.0000 0.0000 0.0000
P 0.2500 0.7500 0.5000
Re 0.5000 0.5000 0.0000

Properties
Excess energy over the best structure of this formula in the dataset = 0.662 eV per atom
Calculated formation energy = 0.688 eV per atom
Space-group type = No. 119
Fermi-level density of states = 0.8195 states/eV/atom

---

Entry 5:
Here is crystalline ThUFe2P2 at its relaxed geometry from the Alexandria database. Energies are from GGA-PBE.

Cell lengths 3.9131, 3.9131, 7.6547 Å; angles 90.00, 90.00, 120.00 degrees
Atoms (fractional coordinates):
Th 0.0000 0.0000 0.0000
U 0.0000 0.0000 0.5000
Fe 0.3333 0.6667 0.7065
Fe 0.6667 0.3333 0.2935
P 0.3333 0.6667 0.2502
P 0.6667 0.3333 0.7498

Properties
Calculated formation energy = -0.882 eV per atom
Space-group type = No. 164
Fermi-level density of states = 1.4852 states/eV/atom

---

Entry 6:
Here is crystalline La2MnAl12Fe3 at its relaxed geometry from the Alexandria database. Energies are from GGA-PBE.

Cell lengths 10.3737, 10.3737, 10.3737 Å; angles 35.73, 35.73, 35.73 degrees
Atoms (fractional coordinates):
La 0.6427 0.6427 0.6427
La 0.3573 0.3573 0.3573
Mn 0.0000 0.0000 0.0000
Al 0.4055 0.4055 0.8230
Al 0.9193 0.9193 0.3608
Al 0.3608 0.9193 0.9193
Al 0.8230 0.4055 0.4055
Al 0.9193 0.3608 0.9193
Al 0.4055 0.8230 0.4055
Al 0.5945 0.5945 0.1770
Al 0.0807 0.0807 0.6392
Al 0.6392 0.0807 0.0807
Al 0.1770 0.5945 0.5945
Al 0.0807 0.6392 0.0807
Al 0.5945 0.1770 0.5945
Fe 0.5000 0.0000 0.0000
Fe 0.0000 0.5000 0.0000
Fe 0.0000 0.0000 0.5000

Properties
Calculated formation energy = 0.028 eV per atom
Space-group type = No. 166
Fermi-level density of states = 0.6892 states/eV/atom

---

Entry 7:
Here is crystalline Li2GaGe at its relaxed geometry from the Alexandria database. Energies are from GGA-PBE.

Cell lengths 2.9512, 2.9512, 9.0192 Å; angles 80.58, 80.58, 60.00 degrees
Atoms (fractional coordinates):
Li 0.0818 0.0818 0.7545
Li 0.2516 0.2516 0.2453
Ga 0.5001 0.5001 0.4996
Ge 0.6665 0.6665 0.0006

Properties
Excess energy over the best structure of this formula in the dataset = 0.115 eV per atom
Calculated formation energy = -0.176 eV per atom
Space-group type = No. 160
Fermi-level density of states = 0.6003 states/eV/atom

---

Entry 8:
Here is crystalline Nd2Dy5HoTh at its relaxed geometry from the Alexandria database. Energies are from GGA-PBE.

Cell lengths 5.6351, 10.4443, 10.6398 Å; angles 90.00, 90.00, 105.65 degrees
Atoms (fractional coordinates):
Nd 0.8851 0.7702 0.8197
Nd 0.1164 0.2327 0.7322
Nd 0.1149 0.2298 0.3197
Nd 0.8836 0.7673 0.2322
Dy 0.3914 0.7829 0.0234
Dy 0.7218 0.4436 0.8165
Dy 0.4778 0.9556 0.7370
Dy 0.2999 0.5999 0.7085
Dy 0.9839 0.9678 0.5244
Dy 0.6086 0.2171 0.5234
Dy 0.2782 0.5564 0.3165
Dy 0.5222 0.0444 0.2370
Dy 0.7001 0.4001 0.2085
Dy 0.0161 0.0322 0.0244
Ho 0.8006 0.6012 0.5105
Ho 0.1994 0.3988 0.0105
Th 0.5854 0.1708 0.9517
Th 0.4146 0.8292 0.4517

Properties
Calculated formation energy = 0.169 eV per atom
Space-group type = No. 36
Fermi-level density of states = 1.5106 states/eV/atom

---

Entry 9:
Here is crystalline CdNiHRh2 at its relaxed geometry from the Alexandria database. Energies are from GGA-PBE.

Cell lengths 3.9961, 3.9961, 3.8464 Å; angles 90.00, 90.00, 90.00 degrees
Atoms (fractional coordinates):
Ni 0.0000 0.0000 0.5000
Rh 0.0000 0.5000 0.0000
Rh 0.5000 0.0000 0.0000
H 0.0000 0.0000 0.0000
Cd 0.5000 0.5000 0.5000

Properties
Excess energy over the best structure of this formula in the dataset = 0.000 eV per atom
Space-group type = No. 123
Fermi-level density of states = 1.0780 states/eV/atom

---

Entry 10:
Here is crystalline CrCo2Os at its relaxed geometry from the Alexandria database. Energies are from GGA-PBE.

Cell lengths 2.5358, 2.5358, 8.3252 Å; angles 90.00, 90.00, 112.81 degrees
Atoms (fractional coordinates):
Co 0.0000 0.0000 0.0124
Co 0.0000 0.0000 0.4876
Cr 0.5000 0.5000 0.2500
Os 0.5000 0.5000 0.7500

Properties
Excess energy over the best structure of this formula in the dataset = 0.346 eV per atom
Calculated formation energy = 0.357 eV per atom
Space-group type = No. 65
Fermi-level density of states = 1.3963 states/eV/atom

---

Entry 11:
Here is crystalline SnBi2Pd8 at its relaxed geometry from the Alexandria database. Energies are from GGA-PBE.

Cell lengths 4.2284, 6.4210, 7.8536 Å; angles 106.63, 105.62, 90.00 degrees
Atoms (fractional coordinates):
Sn 0.5000 0.0000 0.0000
Bi 0.7958 0.3399 0.5917
Bi 0.2042 0.6601 0.4083
Pd 0.4162 0.5550 0.8324
Pd 0.6720 0.9206 0.3441
Pd 0.8549 0.8054 0.7099
Pd 0.9654 0.2574 0.9308
Pd 0.1451 0.1946 0.2901
Pd 0.3280 0.0794 0.6559
Pd 0.5838 0.4450 0.1676
Pd 0.0346 0.7426 0.0692

Properties
Calculated formation energy = -0.322 eV per atom
Space-group type = No. 12
Fermi-level density of states = 0.4882 states/eV/atom

---

Entry 12:
Here is crystalline AcGdPuIn at its relaxed geometry from the Alexandria database. Energies are from GGA-PBE.

Cell lengths 5.5877, 5.5877, 5.5877 Å; angles 60.00, 60.00, 60.00 degrees
Atoms (fractional coordinates):
Ac 0.7500 0.7500 0.7500
Gd 0.5000 0.5000 0.5000
In 0.2500 0.2500 0.2500
Pu 0.0000 0.0000 0.0000

Properties
Calculated formation energy = 0.047 eV per atom
Space-group type = No. 216
Fermi-level density of states = 3.3445 states/eV/atom

---

Question: The lowest Fermi-level density of states belongs to which entry?
Answer: BAu